# 1
VASP calculation (GGA-PBE) on a geometry-optimized GeOsO3 structure.

Calculated values
formation energy without anion corrections: -487.8 meV per atom
E: -33.161 eV for the cell shown

a = 3.907 Å, b = 3.907 Å, c = 3.907 Å
α = 90.00°, β = 90.00°, γ = 90.00°
Sites, in units of the cell vectors:
Ge  0.000  0.000  0.000
Os  0.500  0.500  0.500
O  0.000  0.500  0.500
O  0.500  0.000  0.500
O  0.500  0.500  0.000

***

# 2
VASP calculation (GGA-PBE) on a geometry-optimized CsTl3In3 structure.

Calculated values
ΔE to the lowest computed polymorph: 11.1 kJ per mole of atoms
ΔE_f: 0.080 eV/atom
E: -31.209 eV for the cell shown

a = 8.411 Å, b = 8.411 Å, c = 8.411 Å
α = 90.00°, β = 90.00°, γ = 90.00°
Sites, in units of the cell vectors:
Cs  0.000  0.000  0.000
Cs  0.500  0.500  0.500
Tl  0.000  0.250  0.500
Tl  0.000  0.750  0.500
Tl  0.250  0.500  0.000
Tl  0.500  0.000  0.250
Tl  0.500  0.000  0.750
Tl  0.750  0.500  0.000
In  0.000  0.500  0.250
In  0.000  0.500  0.750
In  0.250  0.000  0.500
In  0.500  0.250  0.000
In  0.500  0.750  0.000
In  0.750  0.000  0.500

***

# 3
VASP calculation (GGA-PBE) on a geometry-optimized Ba3Re structure.

Calculated values
ΔE to the lowest computed polymorph: 59.1 kJ per mole of atoms
ΔE_f: 1.025 eV/atom
E: -14.118 eV for the cell shown

a = 12.178 Å, b = 12.178 Å, c = 12.178 Å
α = 19.51°, β = 19.51°, γ = 19.51°
Sites, in units of the cell vectors:
Ba  0.000  0.000  0.000
Ba  0.225  0.225  0.225
Ba  0.775  0.775  0.775
Re  0.500  0.500  0.500